A relaxed structure of CaLaNdDy. Source: Alexandria via LeMat-Bulk, functional GGA-PBE.

Lattice parameters (Å, degrees): 3.6845 3.6845 12.2936 90.00 90.00 120.00
Atoms (fractional coordinates):
Dy: 0.6667 0.3333 0.1780
La: 0.3333 0.6667 0.9406
Nd: 0.0000 0.0000 0.4098
Ca: 0.6667 0.3333 0.6709

Output
Crystal system: trigonal
ΔH_f (0 K) in eV per atom: 0.041
E in eV per atom: -4.03
Symmetry: P3m1 (156)